# BaMg2TaO6

A relaxed BaMg2TaO6 crystal (PBE, Alexandria via LeMat-Bulk).

Cell and atoms, written as CIF:
```
data_BaMg2TaO6
_chemical_formula_sum 'Ba4 Mg8 Ta4 O24'
_cell_length_a 9.497
_cell_length_b 12.016
_cell_length_c 6.828
_cell_angle_alpha 90.00
_cell_angle_beta 119.86
_cell_angle_gamma 90.00
_space_group_name_H-M_alt 'C 1 2/c 1'
_space_group_IT_number 15
loop_
_space_group_symop_operation_xyz
'x,y,z'
'-x,-y,-z'
'-x,y,-z+1/2'
'x,-y,z+1/2'
'x+1/2,y+1/2,z'
'-x+1/2,-y+1/2,-z'
'-x+1/2,y+1/2,-z+1/2'
'x+1/2,-y+1/2,z+1/2'
loop_
_atom_site_label
_atom_site_fract_x
_atom_site_fract_y
_atom_site_fract_z
Ba1 0.000 0.115 0.250
Mg1 0.121 0.424 0.146
Ta1 0.000 0.190 0.750
O1 0.095 0.265 0.026
O2 0.117 0.453 0.435
O3 0.131 0.087 0.707
```

Computed properties:
- total magnetic moment (μB/atom) = 0.102
- formation energy (no corrections) (kJ/mol of atoms) = -243.8